Entry 1:
The following is a DFT calculation (PBE-GGA) of an optimized crystal structure of SmYTm.

```
SmYTm
1.0
3.521 0.000 0.000
-1.761 3.049 0.000
0.000 0.000 18.257
Sm Tm Y
2 2 2
direct
0.667 0.333 0.843
0.333 0.667 0.343
0.333 0.667 0.156
0.667 0.333 0.656
0.000 0.000 0.501
0.000 0.000 0.001
```

Values from the calculation:
Energy relative to the lowest polymorph listed for this composition, meV/atom: 118
SG: P6_3mc (186)

Entry 2:
The following is a DFT calculation (PBE-GGA) of an optimized crystal structure of Sm6Y8Tm.

```
Sm6Y8Tm
1.0
9.782 0.000 0.000
4.891 8.471 0.000
4.891 2.824 5.945
Sm Y Tm
6 8 1
direct
0.718 0.388 0.969
0.612 0.075 0.031
0.388 0.925 0.969
0.925 0.718 0.969
0.282 0.612 0.031
0.075 0.282 0.031
0.646 0.769 0.511
0.586 0.586 0.242
0.769 0.074 0.511
0.074 0.646 0.511
0.414 0.414 0.758
0.926 0.354 0.489
0.354 0.231 0.489
0.231 0.926 0.489
0.000 0.000 0.000
```

Values from the calculation:
Energy relative to the lowest polymorph listed for this composition, meV/atom: 10
SG: R-3 (148)

Entry 3:
The following is a DFT calculation (PBE-GGA) of an optimized crystal structure of Sm12YTm2.

```
Sm12YTm2
1.0
-5.078 -3.482 -2.788
3.887 -3.370 4.384
-14.934 6.920 18.561
Y Sm Tm
2 24 4
direct
0.000 0.500 0.001
0.500 0.000 0.999
0.000 0.000 0.325
0.749 0.751 0.076
0.249 0.251 0.924
0.227 0.273 0.440
0.000 0.000 0.200
0.751 0.251 0.130
0.500 0.500 0.675
0.251 0.249 0.076
0.500 0.500 0.325
0.000 0.000 0.800
0.233 0.733 0.587
0.249 0.749 0.130
0.500 0.500 0.200
0.749 0.249 0.870
0.267 0.767 0.413
0.727 0.773 0.560
0.767 0.267 0.587
0.500 0.500 0.800
0.273 0.227 0.560
0.000 0.000 0.675
0.251 0.751 0.870
0.751 0.749 0.924
0.733 0.233 0.413
0.773 0.727 0.440
0.000 0.500 0.734
0.500 0.000 0.730
0.500 0.000 0.266
0.000 0.500 0.270
```

Values from the calculation:
SG: Cmme (67)

Entry 4:
The following is a DFT calculation (PBE-GGA) of an optimized crystal structure of Sm5Y2Tm3.

```
Sm5Y2Tm3
1.0
8.747 2.119 -4.293
0.624 8.961 -4.330
-2.266 -2.632 10.678
Tm Y Sm
6 4 10
direct
0.227 0.977 0.954
0.773 0.023 0.046
0.721 0.470 0.249
0.028 0.779 0.249
0.972 0.221 0.751
0.279 0.530 0.751
0.220 0.970 0.244
0.780 0.030 0.756
0.475 0.725 0.756
0.525 0.275 0.244
0.019 0.769 0.538
0.522 0.272 0.543
0.621 0.872 0.242
0.121 0.370 0.242
0.269 0.519 0.038
0.879 0.630 0.758
0.379 0.128 0.758
0.731 0.481 0.962
0.478 0.728 0.457
0.981 0.231 0.462
```

Values from the calculation:
Energy relative to the lowest polymorph listed for this composition, meV/atom: 0
SG: C2/c (15)

Entry 5:
The following is a DFT calculation (PBE-GGA) of an optimized crystal structure of Sm4Y3Tm2.

```
Sm4Y3Tm2
1.0
-0.449 4.658 -1.911
-1.176 -3.103 -7.286
-6.523 -1.583 4.360
Sm Y Tm
4 3 2
direct
0.222 0.331 0.445
0.555 0.331 0.110
0.778 0.669 0.555
0.445 0.669 0.890
0.112 0.669 0.224
0.888 0.331 0.776
0.000 0.000 0.000
0.332 0.000 0.665
0.668 0.000 0.335
```

Values from the calculation:
Energy relative to the lowest polymorph listed for this composition, meV/atom: 0
SG: C2/m (12)

Entry 6:
The following is a DFT calculation (PBE-GGA) of an optimized crystal structure of SmY9Tm2.

```
SmY9Tm2
1.0
5.038 0.000 0.000
0.000 5.038 0.000
0.000 0.000 15.129
Y Sm Tm
9 1 2
direct
0.500 0.500 0.665
0.500 0.000 0.500
0.500 0.000 0.831
0.000 0.500 0.169
0.000 0.500 0.831
0.500 0.500 0.000
0.500 0.500 0.335
0.000 0.500 0.500
0.500 0.000 0.169
0.000 0.000 0.000
0.000 0.000 0.334
0.000 0.000 0.666
```

Values from the calculation:
SG: P4/mmm (123)

| no. | D(E_F) (states/eV per atom) | DFT formation energy (eV per atom) |
| --- | --- | --- |
| 1 | 1.669 | 0.11 |
| 2 | 1.350 | 0.18 |
| 3 | 1.556 | 0.16 |
| 4 | 1.834 | 0.19 |
| 5 | 1.445 | 0.02 |
| 6 | 1.496 | 0.03 |